Entry 1:
HoErNiPt: relaxed, PBE.

Cell: 4.289 3.791 10.281 Å, 90.00 90.00 90.00°
Element x y z (fractional)
1 Ho 0.000 0.000 0.000
2 Ho 0.000 0.500 0.500
3 Er 0.500 0.000 0.719
4 Er 0.500 0.500 0.219
5 Ni 0.000 0.000 0.279
6 Ni 0.000 0.500 0.779
7 Pt 0.500 0.000 0.436
8 Pt 0.500 0.500 0.936

Values from the calculation:
- Energy of formation from the pure elements: -0.8975 eV per atom
- D(E_F): 0.68 states/eV per atom
- Uncorrected energy: -6.1381 eV per atom

***

Entry 2:
TaHO2: relaxed, PBE.

Cell: 2.886 2.886 15.291 Å, 90.00 90.00 120.00°
Element x y z (fractional)
1 Ta 0.000 0.000 0.000
2 Ta 0.333 0.667 0.667
3 Ta 0.667 0.333 0.333
4 H 0.000 0.000 0.500
5 H 0.333 0.667 0.167
6 H 0.667 0.333 0.833
7 O 0.000 0.000 0.422
8 O 0.000 0.000 0.578
9 O 0.333 0.667 0.089
10 O 0.333 0.667 0.245
11 O 0.667 0.333 0.755
12 O 0.667 0.333 0.911

Values from the calculation:
- D(E_F): 0.19 states/eV per atom
- Uncorrected energy: -7.9556 eV per atom

***

Entry 3:
SrLi5Pd2: relaxed, PBE.

Cell: 4.143 7.983 9.875 Å, 90.00 90.00 90.00°
Element x y z (fractional)
1 Sr 0.000 0.000 0.000
2 Sr 0.500 0.500 0.500
3 Li 0.000 0.179 0.330
4 Li 0.000 0.179 0.670
5 Li 0.000 0.500 0.000
6 Li 0.000 0.821 0.330
7 Li 0.000 0.821 0.670
8 Li 0.500 0.000 0.500
9 Li 0.500 0.321 0.170
10 Li 0.500 0.321 0.830
11 Li 0.500 0.679 0.170
12 Li 0.500 0.679 0.830
13 Pd 0.000 0.500 0.260
14 Pd 0.000 0.500 0.740
15 Pd 0.500 0.000 0.240
16 Pd 0.500 0.000 0.760

Values from the calculation:
- Energy of formation from the pure elements: -0.2988 eV per atom
- D(E_F): 0.39 states/eV per atom
- Uncorrected energy: -3.0033 eV per atom

***

Entry 4:
ZrMoAs2: relaxed, PBE.

Cell: 3.555 4.733 9.819 Å, 90.00 90.00 90.00°
Element x y z (fractional)
1 Zr 0.000 0.000 0.000
2 Zr 0.500 0.500 0.000
3 Mo 0.000 0.500 0.233
4 Mo 0.500 0.000 0.233
5 As 0.000 0.000 0.422
6 As 0.000 0.500 0.784
7 As 0.500 0.000 0.784
8 As 0.500 0.500 0.422

Values from the calculation:
- Energy of formation from the pure elements: -0.1449 eV per atom
- D(E_F): 0.28 states/eV per atom
- Uncorrected energy: -7.3144 eV per atom

***

Entry 5:
Pm4DyGa5: relaxed, PBE.

Cell: 3.645 3.645 18.260 Å, 90.00 90.00 90.00°
Element x y z (fractional)
1 Pm 0.000 0.000 0.101
2 Pm 0.000 0.000 0.304
3 Pm 0.000 0.000 0.696
4 Pm 0.000 0.000 0.899
5 Dy 0.000 0.000 0.500
6 Ga 0.500 0.500 0.000
7 Ga 0.500 0.500 0.203
8 Ga 0.500 0.500 0.407
9 Ga 0.500 0.500 0.593
10 Ga 0.500 0.500 0.797

Values from the calculation:
- Energy of formation from the pure elements: -0.5732 eV per atom
- D(E_F): 0.40 states/eV per atom
- Uncorrected energy: -4.4471 eV per atom

***

Entry 6:
Ca2LaNpP4: relaxed, PBE.

Cell: 7.073 4.149 7.193 Å, 90.00 109.62 90.00°
Element x y z (fractional)
1 Ca 0.000 0.000 0.000
2 Ca 0.000 0.500 0.500
3 La 0.500 0.000 0.500
4 Np 0.500 0.500 0.000
5 P 0.266 0.500 0.232
6 P 0.272 0.000 0.774
7 P 0.728 0.000 0.226
8 P 0.734 0.500 0.768

Values from the calculation:
- Energy of formation from the pure elements: -1.1121 eV per atom
- D(E_F): 0.79 states/eV per atom
- Uncorrected energy: -6.5510 eV per atom